1.
A plane-wave DFT calculation with GGA-PBE was carried out for a geometry-optimized Li2ZrBi2 structure.

Computed properties:
Energy relative to the lowest polymorph listed for this composition, kcal/mol of atoms: 0.85
Formation energy from the elements, eV per atom: -0.221
Magnetic moment, μB per formula unit: 0.605

a = 8.2014 Å, b = 8.2014 Å, c = 3.2749 Å
α = 90.00°, β = 90.00°, γ = 90.00°
Fractional coordinates of all 10 atoms:
Li: 0.1138 0.3862 0.0000
Li: 0.3862 0.8862 0.0000
Li: 0.6138 0.1138 0.0000
Li: 0.8862 0.6138 0.0000
Zr: 0.0000 0.0000 0.0000
Zr: 0.5000 0.5000 0.0000
Bi: 0.1831 0.6831 0.5000
Bi: 0.3169 0.1831 0.5000
Bi: 0.6831 0.8169 0.5000
Bi: 0.8169 0.3169 0.5000

=====

2.
A plane-wave DFT calculation with GGA-PBE was carried out for a geometry-optimized Pu2Ge3Pt5 structure.

Computed properties:
Energy relative to the lowest polymorph listed for this composition, kcal/mol of atoms: 0.50
Formation energy from the elements, eV per atom: -0.663
Magnetic moment, μB per formula unit: 10.301

a = 12.1619 Å, b = 12.1619 Å, c = 6.9320 Å
α = 90.00°, β = 90.00°, γ = 159.18°
Fractional coordinates of all 20 atoms:
Pu: 0.0198 0.9802 0.5000
Pu: 0.3267 0.6733 0.4816
Pu: 0.6733 0.3267 0.9816
Pu: 0.9802 0.0198 0.0000
Ge: 0.1028 0.8972 0.8300
Ge: 0.2750 0.7250 0.9049
Ge: 0.4451 0.5549 0.6901
Ge: 0.5549 0.4451 0.1901
Ge: 0.7250 0.2750 0.4049
Ge: 0.8972 0.1028 0.3300
Pt: 0.1110 0.8890 0.2142
Pt: 0.1913 0.8087 0.6300
Pt: 0.2294 0.7706 0.2225
Pt: 0.3772 0.6228 0.9808
Pt: 0.4506 0.5494 0.3007
Pt: 0.5494 0.4506 0.8007
Pt: 0.6228 0.3772 0.4808
Pt: 0.7706 0.2294 0.7225
Pt: 0.8087 0.1913 0.1300
Pt: 0.8890 0.1110 0.7142

=====

3.
A plane-wave DFT calculation with GGA-PBE was carried out for a geometry-optimized KSc2S structure.

Computed properties:
Formation energy from raw total energies, eV per formula unit: -2.5
Magnetic moment, μB per formula unit: 0.000

a = 10.1828 Å, b = 10.1828 Å, c = 10.1828 Å
α = 20.46°, β = 20.46°, γ = 20.46°
Fractional coordinates of all 4 atoms:
K: 0.0000 0.0000 0.0000
Sc: 0.1192 0.1192 0.1192
Sc: 0.8808 0.8808 0.8808
S: 0.5000 0.5000 0.5000

=====

4.
A plane-wave DFT calculation with GGA-PBE was carried out for a geometry-optimized MgBPd3 structure.

Computed properties:
Energy relative to the lowest polymorph listed for this composition, kcal/mol of atoms: 0.93
Formation energy from the elements, eV per atom: -0.445
Magnetic moment, μB per formula unit: 0.000

a = 5.1449 Å, b = 6.0131 Å, c = 5.1470 Å
α = 90.00°, β = 113.60°, γ = 90.00°
Fractional coordinates of all 10 atoms:
Mg: 0.2375 0.2500 0.2613
Mg: 0.7625 0.7500 0.7387
B: 0.4664 0.7500 0.0330
B: 0.5336 0.2500 0.9670
Pd: 0.2321 0.7500 0.2689
Pd: 0.2489 0.0001 0.7489
Pd: 0.2489 0.4999 0.7489
Pd: 0.7511 0.9999 0.2511
Pd: 0.7511 0.5001 0.2511
Pd: 0.7679 0.2500 0.7311

=====

5.
A plane-wave DFT calculation with GGA-PBE was carried out for a geometry-optimized ZrBiB3 structure.

Computed properties:
Energy relative to the lowest polymorph listed for this composition, kcal/mol of atoms: 0.00
Formation energy from the elements, eV per atom: 1.517
Magnetic moment, μB per formula unit: 0.000

a = 4.4921 Å, b = 4.4921 Å, c = 4.4921 Å
α = 90.00°, β = 90.00°, γ = 90.00°
Fractional coordinates of all 5 atoms:
Zr: 0.0000 0.0000 0.0000
Bi: 0.5000 0.5000 0.5000
B: 0.0000 0.0000 0.5000
B: 0.0000 0.5000 0.0000
B: 0.5000 0.0000 0.0000

=====

6.
A plane-wave DFT calculation with GGA-PBE was carried out for a geometry-optimized SmDyTm2 structure.

Computed properties:
Energy relative to the lowest polymorph listed for this composition, kcal/mol of atoms: 0.19
Formation energy from the elements, eV per atom: 0.022
Magnetic moment, μB per formula unit: 0.000

a = 11.6653 Å, b = 11.6653 Å, c = 11.6653 Å
α = 17.45°, β = 17.45°, γ = 17.45°
Fractional coordinates of all 4 atoms:
Sm: 0.0000 0.0000 0.0000
Dy: 0.5000 0.5000 0.5000
Tm: 0.2492 0.2492 0.2492
Tm: 0.7508 0.7508 0.7508

=====

7.
A plane-wave DFT calculation with GGA-PBE was carried out for a geometry-optimized Tm6Ge2Se3S structure.

Computed properties:
Formation energy from raw total energies, eV per formula unit: -18.4
Magnetic moment, μB per formula unit: 0.000

a = 9.0304 Å, b = 9.0304 Å, c = 8.0818 Å
α = 103.38°, β = 103.38°, γ = 25.80°
Fractional coordinates of all 12 atoms:
Tm: 0.0049 0.0049 0.2411
Tm: 0.3309 0.3309 0.4261
Tm: 0.3364 0.3364 0.9080
Tm: 0.6636 0.6636 0.0920
Tm: 0.6691 0.6691 0.5739
Tm: 0.9951 0.9951 0.7589
Ge: 0.1661 0.1661 0.3300
Ge: 0.8339 0.8339 0.6700
Se: 0.1647 0.1647 0.8339
Se: 0.5000 0.5000 0.5000
Se: 0.8353 0.8353 0.1661
S: 0.5000 0.5000 0.0000

=====

8.
A plane-wave DFT calculation with GGA-PBE was carried out for a geometry-optimized CsNaF2 structure.

Computed properties:
Formation energy from raw total energies, eV per formula unit: -10.3
Energy relative to the lowest polymorph listed for this composition, kcal/mol of atoms: 2.20
Magnetic moment, μB per formula unit: 0.079

a = 6.7493 Å, b = 6.7493 Å, c = 6.7493 Å
α = 32.71°, β = 32.71°, γ = 32.71°
Fractional coordinates of all 4 atoms:
Cs: 0.0000 0.0000 0.0000
Na: 0.5000 0.5000 0.5000
F: 0.2313 0.2313 0.2313
F: 0.7687 0.7687 0.7687